! TeBr6 PBE optimized geometry; values from VASP
&SYSTEM
  ibrav = 0, nat = 14, ntyp = 2
/
ATOMIC_SPECIES
Te 127.60 Te.upf
Br 79.90 Br.upf
ATOMIC_POSITIONS angstrom
Te 0.000 0.000 0.000
Te 3.414 3.414 6.165
Br 0.000 0.000 2.583
Br 0.000 0.000 9.746
Br 1.199 1.994 6.165
Br 1.420 2.215 0.000
Br 1.994 5.629 6.165
Br 2.215 5.407 0.000
Br 3.414 3.414 3.581
Br 3.414 3.414 8.748
Br 4.612 1.420 0.000
Br 4.833 1.199 6.165
Br 5.407 4.612 0.000
Br 5.629 4.833 6.165
CELL_PARAMETERS angstrom
6.827 0.000 0.000
0.000 6.827 0.000
0.000 0.000 12.329
! Formation energy (no corrections) = -0.077 eV/atom